The following is a DFT calculation (PBE) of an optimized crystal structure of Tb8Pm2Al.

The calculation puts the density of states at the Fermi level at 15.33 states/eV/f.u. The energy above the lowest structure with this stoichiometry is 0.053 eV/atom. For the final energy, the calculation gives -4.550 eV/atom. As for the crystal system: monoclinic. The formation energy comes out at 22 meV/atom.

The space group is C2/m (No. 12) and the conventional cell measures 18.787, 5.441 and 7.516 Å, with angles of 90.00, 113.53 and 90.00 degrees. The inequivalent atoms are Tb at (0.000, 0.000, 0.245), Tb at (0.132, 0.500, 0.397), Tb at (0.133, 0.500, 0.869), Tb at (0.180, 0.000, 0.181), Pm at (0.193, 0.000, 0.693) and Al at (0.000, 0.500, 0.000).